First-principles (PBE with a Hubbard U) data for a relaxed VGeO5 crystal, as listed in Alexandria via LeMat-Bulk.

Computed properties:
Spin magnetization in Bohr magnetons per cell: 4.068
Uncorrected energy in eV per cell: -186.21
ρ in Mg/m³: 3.225
Space-group type: Pnma (62)

Unit cell a=5.4003 b=6.7427 c=11.5137 alpha=90.00 beta=90.00 gamma=90.00
Last column: nearest neighbours and their distance in Å.
Positions (direct):
O1 0.2500 0.5127 0.1918  1 V 1.75, 1 Ge 1.86
O2 0.7500 0.0127 0.3082  1 V 1.75, 1 Ge 1.86
O3 0.0093 0.6588 0.6195  1 V 1.72, 1 Ge 1.89
O4 0.9907 0.1588 0.8805  1 V 1.72, 1 Ge 1.89
O5 0.4907 0.6588 0.6195  1 V 1.72, 1 Ge 1.89
O6 0.5000 0.5000 0.0000  2 Ge 1.88
O7 0.9907 0.3412 0.3805  1 V 1.72, 1 Ge 1.89
O8 0.5093 0.3412 0.3805  1 V 1.72, 1 Ge 1.89
O9 0.5093 0.1588 0.8805  1 V 1.72, 1 Ge 1.89
O10 0.7500 0.2994 0.5852  1 V 1.74, 1 Ge 1.87
O11 0.0000 0.5000 0.0000  2 Ge 1.88
O12 0.0093 0.8412 0.1195  1 V 1.72, 1 Ge 1.89
O13 0.2500 0.9873 0.6918  1 V 1.75, 1 Ge 1.86
O14 0.2500 0.7994 0.9148  1 V 1.74, 1 Ge 1.87
O15 0.7500 0.4873 0.8082  1 V 1.75, 1 Ge 1.86
O16 0.0000 0.0000 0.5000  2 Ge 1.88
O17 0.4907 0.8412 0.1195  1 V 1.72, 1 Ge 1.89
O18 0.7500 0.2006 0.0852  1 V 1.74, 1 Ge 1.87
O19 0.5000 0.0000 0.5000  2 Ge 1.88
O20 0.2500 0.7006 0.4148  1 V 1.74, 1 Ge 1.87
Ge1 0.7500 0.1675 0.4422  6 O 1.86-1.89
Ge2 0.2500 0.8325 0.5578  6 O 1.86-1.89
Ge3 0.7500 0.3325 0.9422  6 O 1.86-1.89
Ge4 0.2500 0.6675 0.0578  6 O 1.86-1.89
V1 0.2500 0.0264 0.8421  4 O 1.72-1.75
V2 0.2500 0.4736 0.3421  4 O 1.72-1.75
V3 0.7500 0.9736 0.1579  4 O 1.72-1.75
V4 0.7500 0.5264 0.6579  4 O 1.72-1.75